No. 1
# CsBeCdGe2, relaxed, DFT GGA-PBE
# ΔH_f (0 K) ... 1.947 eV per atom
# Spin magnetization ... 0.970 μB/f.u.
data_CsBeCdGe2
_space_group_name_H-M_alt 'P 4/m m m'
_space_group_IT_number 123
_space_group_name_Hall '-P 4 2'
_cell_length_a 5.9482
_cell_length_b 5.9482
_cell_length_c 5.6027
_cell_angle_alpha 90.00
_cell_angle_beta 90.00
_cell_angle_gamma 90.00
loop_
_atom_site_label
_atom_site_type_symbol
_atom_site_fract_x
_atom_site_fract_y
_atom_site_fract_z
Cs1 Cs 0.0000 0.0000 0.0000
Be1 Be 0.0000 0.0000 0.5000
Cd1 Cd 0.5000 0.5000 0.5000
Ge1 Ge 0.0000 0.5000 0.0000

=====

No. 2
# CuH12Rh7, relaxed, DFT GGA-PBE
# VASP energy ... -4.73 eV/atom
# Spin magnetization ... 0.000 μB/f.u.
data_CuH12Rh7
_space_group_name_H-M_alt 'R -3'
_space_group_IT_number 148
_space_group_name_Hall '-R 3'
_cell_length_a 7.7927
_cell_length_b 7.7927
_cell_length_c 9.0783
_cell_angle_alpha 90.00
_cell_angle_beta 90.00
_cell_angle_gamma 120.00
loop_
_atom_site_label
_atom_site_type_symbol
_atom_site_fract_x
_atom_site_fract_y
_atom_site_fract_z
Cu1 Cu 0.0000 0.0000 0.0000
H1 H 0.0186 0.7946 0.4088
H2 H 0.0368 0.8315 0.8734
Rh1 Rh 0.0000 0.0000 0.5000
Rh2 Rh 0.0423 0.7928 0.2085

=====

No. 3
# BaLa2Se4, relaxed, DFT GGA-PBE
# Energy relative to the elements, uncorrected ... -2043 meV/atom
# Spin magnetization ... 0.000 μB/f.u.
data_BaLa2Se4
_space_group_name_H-M_alt 'I -4 2 d'
_space_group_IT_number 122
_space_group_name_Hall 'I -4 2bw'
_cell_length_a 9.3366
_cell_length_b 9.3366
_cell_length_c 9.2809
_cell_angle_alpha 90.00
_cell_angle_beta 90.00
_cell_angle_gamma 90.00
loop_
_atom_site_label
_atom_site_type_symbol
_atom_site_fract_x
_atom_site_fract_y
_atom_site_fract_z
Ba1 Ba 0.0000 0.0000 0.0000
La1 La 0.1255 0.2500 0.6250
Se1 Se 0.0776 0.1687 0.3121

=====

No. 4
# Sm2Ho9Th, relaxed, DFT GGA-PBE
# ΔH_f (0 K) ... 0.025 eV per atom
# Spin magnetization ... 0.001 μB/f.u.
data_Sm2Ho9Th
_space_group_name_H-M_alt 'P 4/m m m'
_space_group_IT_number 123
_space_group_name_Hall '-P 4 2'
_cell_length_a 5.0148
_cell_length_b 5.0148
_cell_length_c 15.0328
_cell_angle_alpha 90.00
_cell_angle_beta 90.00
_cell_angle_gamma 90.00
loop_
_atom_site_label
_atom_site_type_symbol
_atom_site_fract_x
_atom_site_fract_y
_atom_site_fract_z
Sm1 Sm 0.0000 0.0000 0.1675
Ho1 Ho 0.0000 0.5000 0.0000
Ho2 Ho 0.0000 0.5000 0.3359
Ho3 Ho 0.5000 0.5000 0.1661
Ho4 Ho 0.5000 0.5000 0.5000
Th1 Th 0.0000 0.0000 0.5000

=====

No. 5
# BaCoHg4, relaxed, DFT GGA-PBE
# ΔH_f (0 K) ... 0.199 eV per atom
# Spin magnetization ... 1.338 μB/f.u.
data_BaCoHg4
_space_group_name_H-M_alt 'F -4 3 m'
_space_group_IT_number 216
_space_group_name_Hall 'F -4 2 3'
_cell_length_a 8.6158
_cell_length_b 8.6158
_cell_length_c 8.6158
_cell_angle_alpha 90.00
_cell_angle_beta 90.00
_cell_angle_gamma 90.00
loop_
_atom_site_label
_atom_site_type_symbol
_atom_site_fract_x
_atom_site_fract_y
_atom_site_fract_z
Ba1 Ba 0.0000 0.0000 0.0000
Co1 Co 0.2500 0.2500 0.7500
Hg1 Hg 0.1240 0.1240 0.3760

=====

No. 6
# La2SiAs, relaxed, DFT GGA-PBE
# Energy relative to the elements, uncorrected ... -345 meV/atom
# Spin magnetization ... 0.000 μB/f.u.
data_La2SiAs
_space_group_name_H-M_alt 'C m m 2'
_space_group_IT_number 35
_cell_length_a 4.9882
_cell_length_b 5.0505
_cell_length_c 8.5170
_cell_angle_alpha 90.00
_cell_angle_beta 90.00
_cell_angle_gamma 90.00
loop_
_space_group_symop_operation_xyz
'x,y,z'
'-x,-y,z'
'-x,y,z'
'x,-y,z'
'x+1/2,y+1/2,z'
'-x+1/2,-y+1/2,z'
'-x+1/2,y+1/2,z'
'x+1/2,-y+1/2,z'
loop_
_atom_site_label
_atom_site_type_symbol
_atom_site_fract_x
_atom_site_fract_y
_atom_site_fract_z
La1 La 0.0000 0.0000 0.0000
La2 La 0.0000 0.5000 0.4093
Si1 Si 0.0000 0.5000 0.7652
As1 As 0.0000 0.0000 0.6394